CrSi2Rh | PBE | optimized geometry

Structure (extended XYZ):
```
4
Lattice="3.1415 0.0000 0.0000 0.0000 3.1415 0.0000 0.0000 0.0000 5.2838" Properties=species:S:1:pos:R:3 pbc="T T T"
Cr 0.0000 0.0000 0.0000
Si 0.0000 0.0000 2.8547
Si 1.5707 1.5707 4.3251
Rh 1.5707 1.5707 1.7774
```

**Crystal system**: tetragonal
**Calculated total energy**: -7.30 eV/atom
**Spin magnetization**: 1.3 μB per cell